Nd2Ga3BiPt4, optimized geometry, DFT PBE; V = 206.55 Å³ per cell; theoretical density = 12.0 g/cm³; energy of formation from the pure elements = -852 meV/atom; crystal system = tetragonal
1.0
4.256 0.000 0.000
0.000 4.256 0.000
0.000 0.000 11.401
Nd Ga Bi Pt
2 3 1 4
Direct
0.000 0.500 0.237
0.500 0.000 0.763
0.000 0.500 0.876
0.500 0.000 0.124
0.500 0.500 0.500
0.000 0.000 0.500
0.000 0.000 0.000
0.000 0.500 0.661
0.500 0.000 0.339
0.500 0.500 0.000